Entry from Alexandria: K5Fe3 after structural relaxation (PBE-GGA).

abc: 11.4128 11.4128 5.3886
angles: 90.00 90.00 120.00
Closest atoms and distances in Å follow each position.
Sites, in units of the cell vectors:
K: 0.3333 0.6667 0.0000  2 K 2.69
K: 0.6667 0.3333 0.5000  2 K 2.69
K: 0.6667 0.3333 0.0000  2 K 2.69
K: 0.3333 0.6667 0.5000  2 K 2.69
K: 0.2522 0.0000 0.2500  1 Fe 3.13
K: 0.7478 0.0000 0.7500  1 Fe 3.13
K: 0.0000 0.2522 0.2500  1 Fe 3.13
K: 0.7478 0.7478 0.2500  1 Fe 3.13
K: 0.2522 0.2522 0.7500  1 Fe 3.13
K: 0.0000 0.7478 0.7500  1 Fe 3.13
Fe: 0.5267 0.0000 0.2500  2 Fe 2.76
Fe: 0.4733 0.0000 0.7500  2 Fe 2.76
Fe: 0.0000 0.5267 0.2500  2 Fe 2.76
Fe: 0.4733 0.4733 0.2500  2 Fe 2.76
Fe: 0.5267 0.5267 0.7500  2 Fe 2.76
Fe: 0.0000 0.4733 0.7500  2 Fe 2.76

Properties
VASP energy = -2.7869 eV per atom
Space group = P6_3/mcm
DOS(E_F) = 12.3 states/eV/f.u.
Excess energy over the best structure of this formula in the dataset = 348 meV per atom

Entry from Alexandria: KFe after structural relaxation (PBE-GGA).

abc: 5.9807 5.9807 6.7003
angles: 90.00 90.00 120.00
Closest atoms and distances in Å follow each position.
Sites, in units of the cell vectors:
K: 0.3333 0.6667 0.2500  5 Fe 3.35-3.45
K: 0.6667 0.3333 0.7500  5 Fe 3.35-3.45
Fe: 0.3333 0.6667 0.7500  5 K 3.35-3.45
Fe: 0.6667 0.3333 0.2500  5 K 3.35-3.45

Properties
VASP energy = -2.9506 eV per atom
Space group = P6_3/mmc
DOS(E_F) = 6.3 states/eV/f.u.
Excess energy over the best structure of this formula in the dataset = 1162 meV per atom

Entry from Alexandria: KFe2 after structural relaxation (PBE-GGA).

abc: 12.1822 12.1822 3.8253
angles: 90.00 90.00 165.11
Closest atoms and distances in Å follow each position.
Sites, in units of the cell vectors:
K: 0.3362 0.6638 0.7500  2 K 3.16, 4 Fe 3.42-3.53
K: 0.6638 0.3362 0.2500  2 K 3.16, 4 Fe 3.42-3.53
Fe: 0.5410 0.4590 0.7500  8 Fe 2.48-2.75
Fe: 0.9617 0.0383 0.7500  8 Fe 2.48-2.66
Fe: 0.0383 0.9617 0.2500  8 Fe 2.48-2.66
Fe: 0.4590 0.5410 0.2500  8 Fe 2.48-2.75

Properties
VASP energy = -5.5244 eV per atom
Space group = Cmcm
DOS(E_F) = 2.5 states/eV/f.u.

Entry from Alexandria: K2Fe after structural relaxation (PBE-GGA).

abc: 9.6090 9.6090 6.3952
angles: 90.00 90.00 155.34
Closest atoms and distances in Å follow each position.
Sites, in units of the cell vectors:
K: 0.9437 0.0563 0.7500  6 Fe 3.65-3.90, 2 K 3.83
K: 0.2532 0.7468 0.7500  2 Fe 3.47, 4 K 3.80
K: 0.7468 0.2532 0.2500  2 Fe 3.47, 4 K 3.80
K: 0.0563 0.9437 0.2500  6 Fe 3.65-3.90, 2 K 3.83
Fe: 0.6043 0.3957 0.7500  4 K 3.47-3.65
Fe: 0.3957 0.6043 0.2500  4 K 3.47-3.65

Properties
VASP energy = -2.5046 eV per atom
Space group = Cmcm
DOS(E_F) = 3.2 states/eV/f.u.
Excess energy over the best structure of this formula in the dataset = 388 meV per atom

Entry from Alexandria: KFe2 after structural relaxation (PBE-GGA).

abc: 6.8978 6.8978 6.8978
angles: 140.53 140.53 57.05
Closest atoms and distances in Å follow each position.
Sites, in units of the cell vectors:
K: 0.7500 0.7500 0.0000  4 K 3.29, 8 Fe 3.48
K: 0.2500 0.2500 0.0000  4 K 3.29, 8 Fe 3.48
Fe: 0.1844 0.6844 0.8688  5 Fe 2.41-2.43
Fe: 0.8156 0.3156 0.1312  5 Fe 2.41-2.43
Fe: 0.6844 0.8156 0.5000  5 Fe 2.41-2.43
Fe: 0.3156 0.1844 0.5000  5 Fe 2.41-2.43

Properties
VASP energy = -5.2770 eV per atom
Space group = I4/mcm
DOS(E_F) = 2.3 states/eV/f.u.

Entry from Alexandria: KFe after structural relaxation (PBE-GGA).

abc: 3.7168 3.7168 19.5145
angles: 90.00 90.00 120.00
Closest atoms and distances in Å follow each position.
Sites, in units of the cell vectors:
K: 0.3333 0.6667 0.1149  6 Fe 3.40, 6 K 3.72
K: 0.6667 0.3333 0.6149  6 Fe 3.40, 6 K 3.72
K: 0.6667 0.3333 0.8851  6 Fe 3.40, 6 K 3.72
K: 0.3333 0.6667 0.3851  6 Fe 3.40, 6 K 3.72
Fe: 0.0000 0.0000 0.2500  3 Fe 2.15
Fe: 0.0000 0.0000 0.7500  3 Fe 2.15
Fe: 0.3333 0.6667 0.7500  3 Fe 2.15
Fe: 0.6667 0.3333 0.2500  3 Fe 2.15

Properties
VASP energy = -3.9350 eV per atom
Space group = P6_3/mmc
DOS(E_F) = 2.1 states/eV/f.u.
Excess energy over the best structure of this formula in the dataset = 177 meV per atom